[1]
The following is a PBE calculation of crystalline Na12Hg2Au at its relaxed geometry, from Alexandria via LeMat-Bulk.

```
Na12Hg2Au
1.0
6.686 0.000 0.000
0.000 6.686 0.000
0.000 0.000 24.236
Na Hg Au
24 4 2
Cartesian
3.343 3.343 19.741
0.000 0.000 19.741
5.014 5.014 22.417
1.671 5.014 22.417
0.000 0.000 7.742
1.671 5.014 1.819
5.471 2.128 13.743
3.343 3.343 7.742
1.671 1.671 22.417
5.014 5.014 1.819
2.128 1.215 13.743
4.558 1.215 10.493
0.000 0.000 16.494
1.215 2.128 10.493
1.671 1.671 1.819
5.471 4.558 10.493
4.558 5.471 13.743
0.000 0.000 4.495
1.215 4.558 13.743
3.343 3.343 16.494
5.014 1.671 22.417
3.343 3.343 4.495
2.128 5.471 10.493
5.014 1.671 1.819
3.343 0.000 4.293
0.000 3.343 4.293
0.000 3.343 19.943
3.343 0.000 19.943
3.343 0.000 0.000
0.000 3.343 0.000
```

Properties
Its space group is P4/nbm (125).

[2]
The following is a PBE calculation of crystalline CaAcAs at its relaxed geometry, from Alexandria via LeMat-Bulk.

```
CaAcAs
1.0
3.857 0.000 0.000
0.000 3.857 0.000
-1.928 -1.928 6.841
Ac Ca As
1 1 1
Cartesian
0.000 0.000 3.984
0.000 0.000 0.574
1.928 1.928 2.284
```

Properties
Its space group is I4mm (107). The value obtained for the energy above the most stable polymorph in this dataset is 102 meV per atom.

Number 1: formation enthalpy at 0 K -0.011 eV/atom. Number 2: formation enthalpy at 0 K -0.713 eV/atom.